The following is a PBE calculation of a relaxed CsNaZn2Pd crystal, from Alexandria via LeMat-Bulk.

SG: P4/mmm (123)
Total magnetization (μB per cell): 0.0
DFT formation energy (eV per atom): -0.08
D(E_F) (states/eV/cell): 2.80
E_tot (eV per cell): -10.3

a = 5.0960 Å, b = 5.0960 Å, c = 5.5618 Å
α = 90.00°, β = 90.00°, γ = 90.00°
Last column: nearest neighbours and their distance in Å.
Positions (direct):
1 Zn 0.5000 0.0000 0.0000  2 Pd 2.55
2 Zn 0.0000 0.5000 0.0000  2 Pd 2.55
3 Na 0.0000 0.0000 0.5000  2 Pd 2.78
4 Pd 0.0000 0.0000 0.0000  4 Zn 2.55, 2 Na 2.78
5 Cs 0.5000 0.5000 0.5000  4 Na 3.60, 8 Zn 3.77

---

The following is a PBE calculation of a relaxed AlP2S4 crystal, from Alexandria via LeMat-Bulk.

SG: I4/m (87)
Total magnetization (μB per cell): 0.0
D(E_F) (states/eV/cell): 1.73
Formation energy (no corrections) (eV/atom): 0.269
E_tot (eV per cell): -29.2

a = 6.1036 Å, b = 6.1036 Å, c = 6.1036 Å
α = 103.27°, β = 103.27°, γ = 122.75°
Last column: nearest neighbours and their distance in Å.
Positions (direct):
1 P 0.2500 0.7500 0.5000  4 S 2.26
2 P 0.7500 0.2500 0.5000  4 S 2.26
3 S 0.3326 0.1541 0.4868  2 P 2.26
4 S 0.1541 0.6674 0.8215  2 P 2.26
5 S 0.8459 0.3326 0.1785  2 P 2.26
6 S 0.6674 0.8459 0.5132  2 P 2.26
7 Al 0.5000 0.5000 0.0000  4 S 2.91

---

The following is a PBE calculation of a relaxed Tb4PmTh crystal, from Alexandria via LeMat-Bulk.

SG: Cmcm (63)
Total magnetization (μB per cell): 0.0
DFT formation energy (eV per atom): 0.18
D(E_F) (states/eV/cell): 20.10
ΔE to the lowest computed polymorph (eV per atom): 0.1613
E_tot (eV per cell): -59.2

a = 5.8884 Å, b = 9.1280 Å, c = 10.3561 Å
α = 104.91°, β = 90.00°, γ = 130.16°
Last column: nearest neighbours and their distance in Å.
Positions (direct):
1 Th 0.2008 0.9508 0.9016  2 Pm 3.49, 2 Th 3.51, 8 Tb 3.53-3.62
2 Th 0.7992 0.0492 0.0984  2 Pm 3.49, 2 Th 3.51, 8 Tb 3.53-3.62
3 Tb 0.1160 0.8659 0.2236  5 Tb 3.43-3.55, 3 Th 3.58-3.62, 3 Pm 3.63-3.65
4 Tb 0.7949 0.5451 0.5854  7 Tb 3.38-3.53, 1 Pm 3.50, 1 Th 3.53
5 Tb 0.3924 0.6423 0.7764  5 Tb 3.43-3.55, 3 Th 3.58-3.62, 3 Pm 3.63-3.65
6 Tb 0.8840 0.1341 0.7764  5 Tb 3.43-3.55, 3 Th 3.58-3.62, 3 Pm 3.63-3.65
7 Tb 0.2905 0.0403 0.5854  7 Tb 3.38-3.53, 1 Pm 3.50, 1 Th 3.53
8 Tb 0.6076 0.3577 0.2236  5 Tb 3.43-3.55, 3 Th 3.58-3.62, 3 Pm 3.63-3.65
9 Tb 0.7095 0.9597 0.4146  7 Tb 3.38-3.53, 1 Pm 3.50, 1 Th 3.53
10 Tb 0.2051 0.4549 0.4146  7 Tb 3.38-3.53, 1 Pm 3.50, 1 Th 3.53
11 Pm 0.3021 0.5521 0.1041  2 Th 3.49, 8 Tb 3.50-3.65, 2 Pm 3.58
12 Pm 0.6979 0.4479 0.8959  2 Th 3.49, 8 Tb 3.50-3.65, 2 Pm 3.58

---

The following is a PBE calculation of a relaxed Li2Ac2MgCd5 crystal, from Alexandria via LeMat-Bulk.

SG: P4/mbm (127)
Total magnetization (μB per cell): 0.0
DFT formation energy (eV per atom): -0.23
D(E_F) (states/eV/cell): 14.25
E_tot (eV per cell): -41.0

a = 4.0938 Å, b = 11.1488 Å, c = 11.1488 Å
α = 90.00°, β = 90.00°, γ = 90.00°
Last column: nearest neighbours and their distance in Å.
Positions (direct):
1 Ac 0.0000 0.6826 0.1826  3 Li 3.20-3.40, 10 Cd 3.53-3.58
2 Ac 0.0000 0.8174 0.6826  3 Li 3.20-3.40, 10 Cd 3.53-3.58
3 Ac 0.0000 0.1826 0.3174  3 Li 3.20-3.40, 10 Cd 3.53-3.58
4 Ac 0.0000 0.3174 0.8174  3 Li 3.20-3.40, 10 Cd 3.53-3.58
5 Cd 0.5000 0.5546 0.7031  2 Li 2.96, 2 Mg 3.11, 2 Cd 3.32
6 Cd 0.5000 0.0000 0.5000  4 Li 2.73
7 Cd 0.5000 0.4454 0.2969  2 Li 2.96, 2 Mg 3.11, 2 Cd 3.32
8 Cd 0.5000 0.0546 0.7969  2 Li 2.96, 2 Mg 3.11, 2 Cd 3.32
9 Cd 0.5000 0.9454 0.2031  2 Li 2.96, 2 Mg 3.11, 2 Cd 3.32
10 Cd 0.5000 0.7969 0.9454  2 Li 2.96, 2 Mg 3.11, 2 Cd 3.32
11 Cd 0.5000 0.2031 0.0546  2 Li 2.96, 2 Mg 3.11, 2 Cd 3.32
12 Cd 0.5000 0.7031 0.4454  2 Li 2.96, 2 Mg 3.11, 2 Cd 3.32
13 Cd 0.5000 0.2969 0.5546  2 Li 2.96, 2 Mg 3.11, 2 Cd 3.32
14 Cd 0.5000 0.5000 0.0000  4 Li 2.73
15 Mg 0.0000 0.5000 0.5000  8 Cd 3.11
16 Mg 0.0000 0.0000 0.0000  8 Cd 3.11
17 Li 0.0000 0.6146 0.8854  6 Cd 2.73-2.96
18 Li 0.0000 0.8854 0.3854  6 Cd 2.73-2.96
19 Li 0.0000 0.3854 0.1146  6 Cd 2.73-2.96
20 Li 0.0000 0.1146 0.6146  6 Cd 2.73-2.96

---

The following is a PBE calculation of a relaxed Ga2Co2Si crystal, from Alexandria via LeMat-Bulk.

SG: P4/mbm (127)
Total magnetization (μB per cell): 0.0
D(E_F) (states/eV/cell): 7.27
Formation energy (no corrections) (eV/atom): -0.212
ΔE to the lowest computed polymorph (eV per atom): 0.1696
E_tot (eV per cell): -53.5

a = 5.9451 Å, b = 5.9451 Å, c = 3.6971 Å
α = 90.00°, β = 90.00°, γ = 90.00°
Last column: nearest neighbours and their distance in Å.
Positions (direct):
1 Co 0.1551 0.3449 0.0000  2 Si 2.25, 2 Ga 2.45
2 Co 0.6551 0.1551 0.0000  2 Si 2.25, 2 Ga 2.45
3 Co 0.8449 0.6551 0.0000  2 Si 2.25, 2 Ga 2.45
4 Co 0.3449 0.8449 0.0000  2 Si 2.25, 2 Ga 2.45
5 Si 0.5000 0.5000 0.0000  4 Co 2.25
6 Si 0.0000 0.0000 0.0000  4 Co 2.25
7 Ga 0.8457 0.3457 0.5000  6 Co 2.45-2.61, 1 Ga 2.60
8 Ga 0.1543 0.6543 0.5000  6 Co 2.45-2.61, 1 Ga 2.60
9 Ga 0.6543 0.8457 0.5000  6 Co 2.45-2.61, 1 Ga 2.60
10 Ga 0.3457 0.1543 0.5000  6 Co 2.45-2.61, 1 Ga 2.60

---

The following is a PBE calculation of a relaxed SrTaAu2 crystal, from Alexandria via LeMat-Bulk.

SG: Pmmm (47)
Total magnetization (μB per cell): 0.0
DFT formation energy (eV per atom): -0.10
D(E_F) (states/eV/cell): 2.92
ΔE to the lowest computed polymorph (eV per atom): 0.0242
E_tot (eV per cell): -20.5

a = 3.7635 Å, b = 3.1340 Å, c = 8.1311 Å
α = 67.30°, β = 90.00°, γ = 90.00°
Last column: nearest neighbours and their distance in Å.
Positions (direct):
1 Au 0.0000 0.0525 0.9474  4 Ta 2.86, 3 Au 2.96-3.13
2 Au 0.0000 0.4475 0.5526  4 Ta 2.86, 3 Au 2.96-3.13
3 Ta 0.5000 0.7500 0.7500  8 Au 2.86, 2 Ta 3.13
4 Sr 0.5000 0.2500 0.2500  2 Sr 3.13, 8 Au 3.34

---

The following is a PBE calculation of a relaxed YTaTc2 crystal, from Alexandria via LeMat-Bulk.

SG: I-42d (122)
Total magnetization (μB per cell): 0.0
DFT formation energy (eV per atom): 0.55
D(E_F) (states/eV/cell): 8.40
E_tot (eV per cell): -73.7

a = 7.3196 Å, b = 7.3196 Å, c = 5.9553 Å
α = 52.08°, β = 52.08°, γ = 90.00°
Last column: nearest neighbours and their distance in Å.
Positions (direct):
1 Tc 0.0912 0.6250 0.2500  2 Ta 2.53
2 Tc 0.8750 0.9088 0.7500  2 Ta 2.53
3 Tc 0.6588 0.1250 0.2500  2 Ta 2.53
4 Tc 0.3750 0.3412 0.7500  2 Ta 2.53
5 Ta 0.7500 0.2500 0.5000  4 Tc 2.53
6 Ta 0.0000 0.0000 0.0000  4 Tc 2.53
7 Y 0.2500 0.7500 0.5000  4 Tc 2.86, 2 Ta 2.95
8 Y 0.5000 0.5000 0.0000  4 Tc 2.86, 2 Ta 2.95

---

The following is a PBE calculation of a relaxed LaIrRh2 crystal, from Alexandria via LeMat-Bulk.

SG: I4/mmm (139)
Total magnetization (μB per cell): 0.0
DFT formation energy (eV per atom): -0.17
D(E_F) (states/eV/cell): 4.94
ΔE to the lowest computed polymorph (eV per atom): 0.3305
E_tot (eV per cell): -29.2

a = 5.0184 Å, b = 5.0184 Å, c = 5.0184 Å
α = 130.37°, β = 130.37°, γ = 72.82°
Last column: nearest neighbours and their distance in Å.
Positions (direct):
1 Rh 0.7500 0.2500 0.5000  4 La 2.92, 4 Ir 2.92, 4 Rh 2.98
2 Rh 0.2500 0.7500 0.5000  4 La 2.92, 4 Ir 2.92, 4 Rh 2.98
3 Ir 0.5000 0.5000 0.0000  8 Rh 2.92, 4 La 2.98
4 La 0.0000 0.0000 0.0000  8 Rh 2.92, 4 Ir 2.98